[1]
# As2PbW (PBE, optimized geometry)
data_As2PbW
_cell_length_a 3.0066
_cell_length_b 3.0066
_cell_length_c 9.8608
_cell_angle_alpha 90.00
_cell_angle_beta 90.00
_cell_angle_gamma 106.04
_symmetry_space_group_name_H-M 'P 1'
_symmetry_Int_Tables_number 1
_symmetry_space_group_name_Hall 'P 1'
loop_
_atom_site_label
_atom_site_fract_x
_atom_site_fract_y
_atom_site_fract_z
Pb1 0.0000 0.0000 0.5187
As1 0.0000 0.0000 0.9563
As2 0.5000 0.5000 0.2508
W1 0.5000 0.5000 0.7742
# VASP energy = -5.88 eV/atom
# SG = Cmm2
# DOS at the Fermi energy = 1.92 states/eV per cell

=====

[2]
# LiCu3Pd6 (PBE, optimized geometry)
data_LiCu3Pd6
_cell_length_a 4.4521
_cell_length_b 7.2040
_cell_length_c 9.5703
_cell_angle_alpha 112.73
_cell_angle_beta 90.00
_cell_angle_gamma 90.00
_symmetry_space_group_name_H-M 'P 1'
_symmetry_Int_Tables_number 1
_symmetry_space_group_name_Hall 'P 1'
loop_
_atom_site_label
_atom_site_fract_x
_atom_site_fract_y
_atom_site_fract_z
Li1 0.2500 0.9611 0.5754
Li2 0.7500 0.0389 0.4246
Cu1 0.2500 0.5503 0.3686
Cu2 0.7500 0.4497 0.6314
Cu3 0.2500 0.3792 0.7750
Cu4 0.7500 0.6208 0.2250
Cu5 0.2500 0.7679 0.9694
Cu6 0.7500 0.2321 0.0306
Pd1 0.2500 0.4652 0.0725
Pd2 0.7500 0.5348 0.9275
Pd3 0.2500 0.1557 0.1714
Pd4 0.7500 0.8443 0.8286
Pd5 0.2500 0.6655 0.6679
Pd6 0.7500 0.3345 0.3321
Pd7 0.2500 0.2600 0.4840
Pd8 0.7500 0.7400 0.5160
Pd9 0.2500 0.8508 0.2822
Pd10 0.7500 0.1492 0.7178
Pd11 0.2500 0.0761 0.8664
Pd12 0.7500 0.9239 0.1336
# VASP energy = -4.68 eV/atom
# SG = P2_1/m
# DOS at the Fermi energy = 21.15 states/eV per cell

=====

[3]
# TmGa2Ni2 (PBE, optimized geometry)
data_TmGa2Ni2
_cell_length_a 4.0154
_cell_length_b 4.0154
_cell_length_c 10.3912
_cell_angle_alpha 101.14
_cell_angle_beta 101.14
_cell_angle_gamma 90.00
_symmetry_space_group_name_H-M 'P 1'
_symmetry_Int_Tables_number 1
_symmetry_space_group_name_Hall 'P 1'
loop_
_atom_site_label
_atom_site_fract_x
_atom_site_fract_y
_atom_site_fract_z
Tm1 0.6288 0.6288 0.2576
Tm2 0.3712 0.3712 0.7424
Ga1 0.0000 0.5000 0.0000
Ga2 0.1848 0.1848 0.3696
Ga3 0.5000 0.0000 0.0000
Ga4 0.8152 0.8152 0.6304
Ni1 0.7500 0.2500 0.5000
Ni2 0.9326 0.9326 0.8652
Ni3 0.0674 0.0674 0.1348
Ni4 0.2500 0.7500 0.5000
# VASP energy = -4.99 eV/atom
# SG = I4/mmm
# DOS at the Fermi energy = 6.84 states/eV per cell

=====

[4]
# BaLiAl2 (PBE, optimized geometry)
data_BaLiAl2
_cell_length_a 10.6841
_cell_length_b 10.6841
_cell_length_c 10.6841
_cell_angle_alpha 17.91
_cell_angle_beta 17.91
_cell_angle_gamma 17.91
_symmetry_space_group_name_H-M 'P 1'
_symmetry_Int_Tables_number 1
_symmetry_space_group_name_Hall 'P 1'
loop_
_atom_site_label
_atom_site_fract_x
_atom_site_fract_y
_atom_site_fract_z
Al1 0.0111 0.0111 0.0111
Al2 0.4889 0.4889 0.4889
Ba1 0.2500 0.2500 0.2500
Li1 0.7500 0.7500 0.7500
# E above lowest polymorph = 0.4943 eV per atom
# VASP energy = -2.51 eV/atom
# SG = R-3m
# DOS at the Fermi energy = 2.99 states/eV per cell

=====

Number 1: formation energy from the elements 0.61 eV/atom, total magnetization 0.00 μB per formula unit. Number 2: formation energy from the elements -0.14 eV/atom, total magnetization 0.00 μB per formula unit. Number 3: formation energy from the elements -0.58 eV/atom, total magnetization 0.00 μB per formula unit. Number 4: formation energy from the elements 0.32 eV/atom, total magnetization 0.00 μB per formula unit.